First-principles (GGA-PBE) data for a relaxed InAgW2 crystal, as listed in Alexandria.

Geometry as POSCAR:
```
InAgW2
1.0
5.369 -0.004 0.000
2.541 4.729 0.000
-3.955 -2.362 2.757
Ag W In
1 2 1
Direct
0.250 0.750 0.500
0.000 0.000 0.000
0.500 0.500 0.000
0.750 0.250 0.500
```

Output
As for the volume: 70 Å³/f.u. The value obtained for the magnetization is 0.000 μB per atom. The calculated total energy is -29.0 eV/cell.